P.
# PBE EuHg2Sb, optimized geometry
data_EuHg2Sb
_symmetry_space_group_name_H-M 'F m -3 m'
_symmetry_Int_Tables_number 225
_symmetry_space_group_name_Hall '-F 4 2 3'
_cell_length_a 7.598
_cell_length_b 7.598
_cell_length_c 7.598
_cell_angle_alpha 90.00
_cell_angle_beta 90.00
_cell_angle_gamma 90.00
loop_
_atom_site_label
_atom_site_type_symbol
_atom_site_fract_x
_atom_site_fract_y
_atom_site_fract_z
_atom_site_occupancy
Eu1 Eu 0.000 0.000 0.000 1
Hg1 Hg 0.250 0.250 0.250 1
Sb1 Sb 0.000 0.000 0.500 1
# Crystal system: cubic
# Density of states at the Fermi level (states/eV/atom): 1.152
# Total moment (μB/f.u.): 7.0

Q.
# PBE EuHg2Sb, optimized geometry
data_EuHg2Sb
_symmetry_space_group_name_H-M 'P 4/m m m'
_symmetry_Int_Tables_number 123
_symmetry_space_group_name_Hall '-P 4 2'
_cell_length_a 4.574
_cell_length_b 4.574
_cell_length_c 5.151
_cell_angle_alpha 90.00
_cell_angle_beta 90.00
_cell_angle_gamma 90.00
loop_
_atom_site_label
_atom_site_type_symbol
_atom_site_fract_x
_atom_site_fract_y
_atom_site_fract_z
_atom_site_occupancy
Eu1 Eu 0.000 0.000 0.000 1
Hg1 Hg 0.000 0.500 0.500 1
Sb1 Sb 0.500 0.500 0.000 1
# Crystal system: tetragonal
# Density of states at the Fermi level (states/eV/atom): 0.911
# Total moment (μB/f.u.): 6.8

Stability ranking, top and bottom: Q is the most stable and P is the least stable.

P.
# PBE Y2SeBr, optimized geometry
data_Y2SeBr
_symmetry_space_group_name_H-M 'C m m m'
_symmetry_Int_Tables_number 65
_symmetry_space_group_name_Hall '-C 2 2'
_cell_length_a 3.765
_cell_length_b 6.663
_cell_length_c 8.897
_cell_angle_alpha 90.00
_cell_angle_beta 90.00
_cell_angle_gamma 90.00
loop_
_atom_site_label
_atom_site_type_symbol
_atom_site_fract_x
_atom_site_fract_y
_atom_site_fract_z
_atom_site_occupancy
Y1 Y 0.000 0.000 0.229 1
Se1 Se 0.000 0.500 0.000 1
Br1 Br 0.000 0.500 0.500 1
# Crystal system: orthorhombic
# Density of states at the Fermi level (states/eV/atom): 0.739
# Total moment (μB/f.u.): 0.1

Q.
# PBE Y2SeBr, optimized geometry
data_Y2SeBr
_symmetry_space_group_name_H-M 'R 3 m'
_symmetry_Int_Tables_number 160
_symmetry_space_group_name_Hall 'R 3 -2"'
_cell_length_a 3.8418
_cell_length_b 3.8418
_cell_length_c 23.8561
_cell_angle_alpha 90.00
_cell_angle_beta 90.00
_cell_angle_gamma 120.00
loop_
_atom_site_label
_atom_site_type_symbol
_atom_site_fract_x
_atom_site_fract_y
_atom_site_fract_z
_atom_site_occupancy
Y1 Y 0.0000 0.0000 0.0000 1
Y2 Y 0.0000 0.0000 0.1870 1
Se1 Se 0.0000 0.0000 0.5927 1
Br1 Br 0.0000 0.0000 0.4257 1
# Crystal system: trigonal
# Density of states at the Fermi level (states/eV/atom): 0.869
# Total moment (μB/f.u.): 0.0

Stability ranking, top and bottom: Q is the most stable and P is the least stable.

P.
# PBE BaZrRe2, optimized geometry
data_BaZrRe2
_symmetry_space_group_name_H-M 'C 1 2/m 1'
_symmetry_Int_Tables_number 12
_symmetry_space_group_name_Hall '-C 2y'
_cell_length_a 5.991
_cell_length_b 9.742
_cell_length_c 2.982
_cell_angle_alpha 90.00
_cell_angle_beta 112.46
_cell_angle_gamma 90.00
loop_
_atom_site_label
_atom_site_type_symbol
_atom_site_fract_x
_atom_site_fract_y
_atom_site_fract_z
_atom_site_occupancy
Ba1 Ba 0.000 0.000 0.000 1
Zr1 Zr 0.000 0.500 0.000 1
Re1 Re 0.250 0.250 0.500 1
# Crystal system: monoclinic
# Density of states at the Fermi level (states/eV/atom): 0.925
# Total moment (μB/f.u.): 0.0

Q.
# PBE BaZrRe2, optimized geometry
data_BaZrRe2
_symmetry_space_group_name_H-M 'P m m m'
_symmetry_Int_Tables_number 47
_symmetry_space_group_name_Hall '-P 2 2'
_cell_length_a 3.244
_cell_length_b 4.960
_cell_length_c 4.961
_cell_angle_alpha 90.00
_cell_angle_beta 90.00
_cell_angle_gamma 90.00
loop_
_atom_site_label
_atom_site_type_symbol
_atom_site_fract_x
_atom_site_fract_y
_atom_site_fract_z
_atom_site_occupancy
Ba1 Ba 0.000 0.000 0.000 1
Zr1 Zr 0.500 0.000 0.500 1
Re1 Re 0.000 0.500 0.500 1
Re2 Re 0.500 0.500 0.000 1
# Crystal system: orthorhombic
# Density of states at the Fermi level (states/eV/atom): 1.099
# Total moment (μB/f.u.): 0.0

Stability ranking, top and bottom: P is the most stable and Q is the least stable.

P.
# PBE Rb2In2Au, optimized geometry
data_Rb2In2Au
_symmetry_space_group_name_H-M 'R -3 m'
_symmetry_Int_Tables_number 166
_symmetry_space_group_name_Hall '-R 3 2"'
_cell_length_a 4.7810
_cell_length_b 4.7810
_cell_length_c 33.9173
_cell_angle_alpha 90.00
_cell_angle_beta 90.00
_cell_angle_gamma 120.00
loop_
_atom_site_label
_atom_site_type_symbol
_atom_site_fract_x
_atom_site_fract_y
_atom_site_fract_z
_atom_site_occupancy
Rb1 Rb 0.0000 0.0000 0.0689 1
In1 In 0.0000 0.0000 0.1918 1
Au1 Au 0.0000 0.0000 0.5000 1
# Crystal system: trigonal
# Density of states at the Fermi level (states/eV/atom): 0.918
# Total moment (μB/f.u.): 0.0

Q.
# PBE Rb2In2Au, optimized geometry
data_Rb2In2Au
_symmetry_space_group_name_H-M 'I 41/a m d'
_symmetry_Int_Tables_number 141
_cell_length_a 4.974
_cell_length_b 4.974
_cell_length_c 36.858
_cell_angle_alpha 90.00
_cell_angle_beta 90.00
_cell_angle_gamma 90.00
loop_
_symmetry_equiv_pos_as_xyz
'x,y,z'
'-x,-y,-z'
'-y+1/4,x+3/4,z+1/4'
'y+1/4,-x+3/4,-z+1/4'
'-x+1/2,-y,z+1/2'
'x+1/2,y,-z+1/2'
'y+1/4,-x+1/4,z+3/4'
'-y+1/4,x+1/4,-z+3/4'
'x,-y,-z'
'-x,y,z'
'-y+1/4,-x+1/4,-z+3/4'
'y+1/4,x+1/4,z+3/4'
'-x+1/2,y,-z+1/2'
'x+1/2,-y,z+1/2'
'y+1/4,x+3/4,-z+1/4'
'-y+1/4,-x+3/4,z+1/4'
'x+1/2,y+1/2,z+1/2'
'-x+1/2,-y+1/2,-z+1/2'
'-y+3/4,x+1/4,z+3/4'
'y+3/4,-x+1/4,-z+3/4'
'-x,-y+1/2,z'
'x,y+1/2,-z'
'y+3/4,-x+3/4,z+1/4'
'-y+3/4,x+3/4,-z+1/4'
'x+1/2,-y+1/2,-z+1/2'
'-x+1/2,y+1/2,z+1/2'
'-y+3/4,-x+3/4,-z+1/4'
'y+3/4,x+3/4,z+1/4'
'-x,y+1/2,-z'
'x,-y+1/2,z'
'y+3/4,x+1/4,-z+3/4'
'-y+3/4,-x+1/4,z+3/4'
loop_
_atom_site_label
_atom_site_type_symbol
_atom_site_fract_x
_atom_site_fract_y
_atom_site_fract_z
_atom_site_occupancy
Rb1 Rb 0.000 0.250 0.051 1
In1 In 0.000 0.250 0.157 1
Au1 Au 0.000 0.250 0.375 1
# Crystal system: tetragonal
# Density of states at the Fermi level (states/eV/atom): 0.575
# Total moment (μB/f.u.): 0.0

Stability ranking, top and bottom: P is the most stable and Q is the least stable.

P.
# PBE PBrF2, optimized geometry
data_PBrF2
_symmetry_space_group_name_H-M 'R -3 m'
_symmetry_Int_Tables_number 166
_symmetry_space_group_name_Hall '-R 3 2"'
_cell_length_a 2.8760
_cell_length_b 2.8760
_cell_length_c 30.3247
_cell_angle_alpha 90.00
_cell_angle_beta 90.00
_cell_angle_gamma 120.00
loop_
_atom_site_label
_atom_site_type_symbol
_atom_site_fract_x
_atom_site_fract_y
_atom_site_fract_z
_atom_site_occupancy
P1 P 0.0000 0.0000 0.0000 1
Br1 Br 0.0000 0.0000 0.5000 1
F1 F 0.0000 0.0000 0.0546 1
# Crystal system: trigonal
# Density of states at the Fermi level (states/eV/atom): 0.845
# Total moment (μB/f.u.): 0.0

Q.
# PBE PBrF2, optimized geometry
data_PBrF2
_symmetry_space_group_name_H-M 'I m m 2'
_symmetry_Int_Tables_number 44
_symmetry_space_group_name_Hall 'I 2 -2'
_cell_length_a 5.272
_cell_length_b 6.221
_cell_length_c 7.240
_cell_angle_alpha 90.00
_cell_angle_beta 90.00
_cell_angle_gamma 90.00
loop_
_atom_site_label
_atom_site_type_symbol
_atom_site_fract_x
_atom_site_fract_y
_atom_site_fract_z
_atom_site_occupancy
P1 P 0.000 0.000 0.000 1
Br1 Br 0.000 0.000 0.386 1
F1 F 0.228 0.000 0.858 1
# Crystal system: orthorhombic
# Total moment (μB/f.u.): 0.0

Stability ranking, top and bottom: Q is the most stable and P is the least stable.

P.
# PBE TaBrCl2, optimized geometry
data_TaBrCl2
_symmetry_space_group_name_H-M 'F -4 3 m'
_symmetry_Int_Tables_number 216
_symmetry_space_group_name_Hall 'F -4 2 3'
_cell_length_a 6.770
_cell_length_b 6.770
_cell_length_c 6.770
_cell_angle_alpha 90.00
_cell_angle_beta 90.00
_cell_angle_gamma 90.00
loop_
_atom_site_label
_atom_site_type_symbol
_atom_site_fract_x
_atom_site_fract_y
_atom_site_fract_z
_atom_site_occupancy
Ta1 Ta 0.000 0.000 0.000 1
Br1 Br 0.250 0.250 0.750 1
Cl1 Cl 0.000 0.000 0.500 1
Cl2 Cl 0.250 0.250 0.250 1
# Crystal system: cubic
# Density of states at the Fermi level (states/eV/atom): 0.377
# Total moment (μB/f.u.): 2.0

Q.
# PBE TaBrCl2, optimized geometry
data_TaBrCl2
_symmetry_space_group_name_H-M 'C m m m'
_symmetry_Int_Tables_number 65
_symmetry_space_group_name_Hall '-C 2 2'
_cell_length_a 5.424
_cell_length_b 9.148
_cell_length_c 3.250
_cell_angle_alpha 90.00
_cell_angle_beta 90.00
_cell_angle_gamma 90.00
loop_
_atom_site_label
_atom_site_type_symbol
_atom_site_fract_x
_atom_site_fract_y
_atom_site_fract_z
_atom_site_occupancy
Ta1 Ta 0.000 0.000 0.000 1
Br1 Br 0.000 0.500 0.000 1
Cl1 Cl 0.250 0.250 0.500 1
# Crystal system: orthorhombic
# Density of states at the Fermi level (states/eV/atom): 0.856
# Total moment (μB/f.u.): 0.3

Stability ranking, top and bottom: P is the most stable and Q is the least stable.

P.
# PBE CsTlHSe, optimized geometry
data_CsTlHSe
_symmetry_space_group_name_H-M 'P 1'
_symmetry_Int_Tables_number 1
_symmetry_space_group_name_Hall 'P 1'
_cell_length_a 4.621
_cell_length_b 4.623
_cell_length_c 6.288
_cell_angle_alpha 85.54
_cell_angle_beta 85.67
_cell_angle_gamma 70.92
loop_
_atom_site_label
_atom_site_type_symbol
_atom_site_fract_x
_atom_site_fract_y
_atom_site_fract_z
_atom_site_occupancy
Cs1 Cs 0.000 0.000 0.000 1
Tl1 Tl 0.661 0.663 0.528 1
H1 H 0.622 0.622 0.839 1
Se1 Se 0.286 0.288 0.433 1
# Crystal system: triclinic
# Density of states at the Fermi level (states/eV/atom): 0.188
# Total moment (μB/f.u.): 0.0

Q.
# PBE CsTlHSe, optimized geometry
data_CsTlHSe
_symmetry_space_group_name_H-M 'C 1 m 1'
_symmetry_Int_Tables_number 8
_symmetry_space_group_name_Hall 'C -2y'
_cell_length_a 8.367
_cell_length_b 3.942
_cell_length_c 7.391
_cell_angle_alpha 90.00
_cell_angle_beta 108.05
_cell_angle_gamma 90.00
loop_
_atom_site_label
_atom_site_type_symbol
_atom_site_fract_x
_atom_site_fract_y
_atom_site_fract_z
_atom_site_occupancy
Cs1 Cs 0.000 0.000 0.000 1
Tl1 Tl 0.351 0.500 0.432 1
H1 H 0.356 0.000 0.276 1
Se1 Se 0.206 0.000 0.643 1
# Crystal system: monoclinic
# Density of states at the Fermi level (states/eV/atom): 0.388
# Total moment (μB/f.u.): 0.0

Stability ranking, top and bottom: P is the most stable and Q is the least stable.

P.
# PBE LaY, optimized geometry
data_LaY
_symmetry_space_group_name_H-M 'P 63/m m c'
_symmetry_Int_Tables_number 194
_symmetry_space_group_name_Hall '-P 6c 2c'
_cell_length_a 5.7303
_cell_length_b 5.7303
_cell_length_c 10.0648
_cell_angle_alpha 90.00
_cell_angle_beta 90.00
_cell_angle_gamma 120.00
loop_
_atom_site_label
_atom_site_type_symbol
_atom_site_fract_x
_atom_site_fract_y
_atom_site_fract_z
_atom_site_occupancy
La1 La 0.0000 0.0000 0.2500 1
La2 La 0.3333 0.6667 0.2500 1
Y1 Y 0.3333 0.6667 0.5851 1
# Crystal system: hexagonal
# Density of states at the Fermi level (states/eV/atom): 1.451
# Total moment (μB/f.u.): 0.0

Q.
# PBE LaY, optimized geometry
data_LaY
_symmetry_space_group_name_H-M 'P -3 m 1'
_symmetry_Int_Tables_number 164
_symmetry_space_group_name_Hall '-P 3 2"'
_cell_length_a 3.6747
_cell_length_b 3.6747
_cell_length_c 11.9074
_cell_angle_alpha 90.00
_cell_angle_beta 90.00
_cell_angle_gamma 120.00
loop_
_atom_site_label
_atom_site_type_symbol
_atom_site_fract_x
_atom_site_fract_y
_atom_site_fract_z
_atom_site_occupancy
La1 La 0.3333 0.6667 0.3661 1
Y1 Y 0.3333 0.6667 0.8818 1
# Crystal system: trigonal
# Density of states at the Fermi level (states/eV/atom): 1.872
# Total moment (μB/f.u.): 0.0

Stability ranking, top and bottom: Q is the most stable and P is the least stable.